# 1
DFT (PBE) results for crystalline TmSc3Pd6 at its relaxed geometry.

**Energy of formation from the pure elements**: -8.9 eV/f.u.

Unit cell a=8.481 b=4.417 c=9.653 alpha=90.00 beta=98.47 gamma=90.00
Sites, in units of the cell vectors:
Tm (0.063, 0.250, 0.375)
Tm (0.937, 0.750, 0.625)
Sc (0.245, 0.250, 0.040)
Sc (0.341, 0.750, 0.813)
Sc (0.448, 0.250, 0.605)
Sc (0.552, 0.750, 0.395)
Sc (0.659, 0.250, 0.187)
Sc (0.755, 0.750, 0.960)
Pd (0.063, 0.750, 0.918)
Pd (0.158, 0.250, 0.723)
Pd (0.166, 0.750, 0.211)
Pd (0.256, 0.750, 0.518)
Pd (0.385, 0.250, 0.315)
Pd (0.469, 0.750, 0.098)
Pd (0.531, 0.250, 0.902)
Pd (0.615, 0.750, 0.685)
Pd (0.744, 0.250, 0.482)
Pd (0.834, 0.250, 0.789)
Pd (0.842, 0.750, 0.277)
Pd (0.937, 0.250, 0.082)

# 2
DFT (PBE) results for crystalline NpPbN at its relaxed geometry.

**E_form (uncorrected)**: -0.697 eV/atom

Unit cell a=3.946 b=3.946 c=8.189 alpha=90.00 beta=90.00 gamma=90.00
Sites, in units of the cell vectors:
Np (0.250, 0.250, 0.130)
Np (0.750, 0.750, 0.870)
Pb (0.250, 0.250, 0.603)
Pb (0.750, 0.750, 0.397)
N (0.250, 0.750, 0.000)
N (0.750, 0.250, 0.000)

# 3
DFT (PBE) results for crystalline ZrInCu at its relaxed geometry.

**Energy of formation from the pure elements**: -0.2 eV/f.u.

Unit cell a=4.047 b=4.047 c=7.158 alpha=90.00 beta=90.00 gamma=90.00
Sites, in units of the cell vectors:
Zr (0.250, 0.250, 0.135)
Zr (0.750, 0.750, 0.865)
In (0.250, 0.750, 0.500)
In (0.750, 0.250, 0.500)
Cu (0.250, 0.250, 0.766)
Cu (0.750, 0.750, 0.234)

# 4
DFT (PBE) results for crystalline NdBeNiN at its relaxed geometry.

**E_form (uncorrected)**: -0.860 eV/atom

Unit cell a=3.667 b=3.667 c=8.003 alpha=90.00 beta=90.00 gamma=90.00
Sites, in units of the cell vectors:
Nd (0.250, 0.250, 0.163)
Nd (0.750, 0.750, 0.837)
Be (0.250, 0.250, 0.654)
Be (0.750, 0.750, 0.346)
Ni (0.250, 0.750, 0.500)
Ni (0.750, 0.250, 0.500)
N (0.250, 0.250, 0.857)
N (0.750, 0.750, 0.143)

Number 1: calculated total energy -6.35 eV/atom. Number 2: calculated total energy -9.02 eV/atom. Number 3: calculated total energy -5.19 eV/atom. Number 4: calculated total energy -6.51 eV/atom.